# 1
The following is a DFT calculation (PBE-GGA) of an optimized crystal structure of CaAgH2Au.

Cell and atoms, written as CIF:
```
data_CaAgH2Au
_chemical_formula_sum 'Ca1 Ag1 H2 Au1'
_space_group_name_H-M_alt 'P 4/m m m'
_space_group_IT_number 123
_space_group_name_Hall '-P 4 2'
_cell_length_a 3.961
_cell_length_b 3.961
_cell_length_c 5.327
_cell_angle_alpha 90.00
_cell_angle_beta 90.00
_cell_angle_gamma 90.00
loop_
_atom_site_label
_atom_site_type_symbol
_atom_site_fract_x
_atom_site_fract_y
_atom_site_fract_z
Ca1 Ca 0.000 0.000 0.000
Ag1 Ag 0.500 0.500 0.000
H1 H 0.000 0.500 0.500
Au1 Au 0.500 0.500 0.500
```

Computed properties:
- total DFT energy (no corrections) (eV/atom) = -2.855
- crystal system = tetragonal
- DOS at the Fermi energy (states/eV per cell) = 1.6

=====

# 2
The following is a DFT calculation (PBE-GGA) of an optimized crystal structure of Ca2HfAgAu.

Cell and atoms, written as CIF:
```
data_Ca2HfAgAu
_chemical_formula_sum 'Ca2 Hf1 Ag1 Au1'
_space_group_name_H-M_alt 'P 4/m m m'
_space_group_IT_number 123
_space_group_name_Hall '-P 4 2'
_cell_length_a 5.468
_cell_length_b 5.468
_cell_length_c 5.186
_cell_angle_alpha 90.00
_cell_angle_beta 90.00
_cell_angle_gamma 90.00
loop_
_atom_site_label
_atom_site_type_symbol
_atom_site_fract_x
_atom_site_fract_y
_atom_site_fract_z
Ca1 Ca 0.000 0.500 0.000
Hf1 Hf 0.000 0.000 0.500
Ag1 Ag 0.500 0.500 0.500
Au1 Au 0.500 0.500 0.000
```

Computed properties:
- total DFT energy (no corrections) (eV/atom) = -3.506
- crystal system = tetragonal
- DOS at the Fermi energy (states/eV per cell) = 9.9

=====

# 3
The following is a DFT calculation (PBE-GGA) of an optimized crystal structure of CaAgHgAu.

Cell and atoms, written as CIF:
```
data_CaAgHgAu
_chemical_formula_sum 'Ca4 Ag4 Hg4 Au4'
_space_group_name_H-M_alt 'F -4 3 m'
_space_group_IT_number 216
_space_group_name_Hall 'F -4 2 3'
_cell_length_a 7.071
_cell_length_b 7.071
_cell_length_c 7.071
_cell_angle_alpha 90.00
_cell_angle_beta 90.00
_cell_angle_gamma 90.00
loop_
_atom_site_label
_atom_site_type_symbol
_atom_site_fract_x
_atom_site_fract_y
_atom_site_fract_z
Ca1 Ca 0.000 0.000 0.000
Ag1 Ag 0.000 0.000 0.500
Hg1 Hg 0.250 0.250 0.250
Au1 Au 0.250 0.250 0.750
```

Computed properties:
- total DFT energy (no corrections) (eV/atom) = -2.510
- crystal system = cubic
- DOS at the Fermi energy (states/eV per cell) = 5.9

=====

# 4
The following is a DFT calculation (PBE-GGA) of an optimized crystal structure of Ca3Ag2Hg2Au4.

Cell and atoms, written as CIF:
```
data_Ca3Ag2Hg2Au4
_chemical_formula_sum 'Ca3 Ag2 Hg2 Au4'
_space_group_name_H-M_alt 'P -3 m 1'
_space_group_IT_number 164
_space_group_name_Hall '-P 3 2"'
_cell_length_a 4.7918
_cell_length_b 4.7918
_cell_length_c 13.4855
_cell_angle_alpha 90.00
_cell_angle_beta 90.00
_cell_angle_gamma 120.00
loop_
_atom_site_label
_atom_site_type_symbol
_atom_site_fract_x
_atom_site_fract_y
_atom_site_fract_z
Ca1 Ca 0.0000 0.0000 0.0000
Ca2 Ca 0.0000 0.0000 0.2701
Ag1 Ag 0.3333 0.6667 0.1417
Hg1 Hg 0.3333 0.6667 0.5775
Au1 Au 0.3333 0.6667 0.3593
Au2 Au 0.3333 0.6667 0.8789
```

Computed properties:
- total DFT energy (no corrections) (eV/atom) = -2.764
- crystal system = trigonal
- DOS at the Fermi energy (states/eV per cell) = 5.2

=====

# 5
The following is a DFT calculation (PBE-GGA) of an optimized crystal structure of Ca2AgHgAu.

Cell and atoms, written as CIF:
```
data_Ca2AgHgAu
_chemical_formula_sum 'Ca4 Ag2 Hg2 Au2'
_space_group_name_H-M_alt 'P 1 21/m 1'
_space_group_IT_number 11
_cell_length_a 7.330
_cell_length_b 4.678
_cell_length_c 7.919
_cell_angle_alpha 90.00
_cell_angle_beta 110.45
_cell_angle_gamma 90.00
loop_
_space_group_symop_operation_xyz
'x,y,z'
'-x,-y,-z'
'-x,y+1/2,-z'
'x,-y+1/2,z'
loop_
_atom_site_label
_atom_site_type_symbol
_atom_site_fract_x
_atom_site_fract_y
_atom_site_fract_z
Ca1 Ca 0.034 0.250 0.201
Ca2 Ca 0.363 0.750 0.622
Ag1 Ag 0.343 0.250 0.962
Hg1 Hg 0.333 0.750 0.189
Au1 Au 0.085 0.250 0.602
```

Computed properties:
- total DFT energy (no corrections) (eV/atom) = -2.615
- crystal system = monoclinic
- DOS at the Fermi energy (states/eV per cell) = 5.0

=====

# 6
The following is a DFT calculation (PBE-GGA) of an optimized crystal structure of Ca4AgHgAu2.

Cell and atoms, written as CIF:
```
data_Ca4AgHgAu2
_chemical_formula_sum 'Ca12 Ag3 Hg3 Au6'
_space_group_name_H-M_alt 'R -3 m'
_space_group_IT_number 166
_space_group_name_Hall '-R 3 2"'
_cell_length_a 5.2012
_cell_length_b 5.2012
_cell_length_c 25.6958
_cell_angle_alpha 90.00
_cell_angle_beta 90.00
_cell_angle_gamma 120.00
loop_
_atom_site_label
_atom_site_type_symbol
_atom_site_fract_x
_atom_site_fract_y
_atom_site_fract_z
Ca1 Ca 0.0000 0.0000 0.1239
Ca2 Ca 0.0000 0.0000 0.3741
Ag1 Ag 0.0000 0.0000 0.0000
Hg1 Hg 0.0000 0.0000 0.5000
Au1 Au 0.0000 0.0000 0.2514
```

Computed properties:
- total DFT energy (no corrections) (eV/atom) = -2.813
- crystal system = trigonal
- DOS at the Fermi energy (states/eV per cell) = 17.0

=====

# 7
The following is a DFT calculation (PBE-GGA) of an optimized crystal structure of CaIn2AgAu2.

Cell and atoms, written as CIF:
```
data_CaIn2AgAu2
_chemical_formula_sum 'Ca2 In4 Ag2 Au4'
_space_group_name_H-M_alt 'I 4/m m m'
_space_group_IT_number 139
_space_group_name_Hall '-I 4 2'
_cell_length_a 5.526
_cell_length_b 5.526
_cell_length_c 11.290
_cell_angle_alpha 90.00
_cell_angle_beta 90.00
_cell_angle_gamma 90.00
loop_
_atom_site_label
_atom_site_type_symbol
_atom_site_fract_x
_atom_site_fract_y
_atom_site_fract_z
Ca1 Ca 0.000 0.000 0.000
In1 In 0.000 0.500 0.250
Ag1 Ag 0.000 0.000 0.500
Au1 Au 0.000 0.000 0.259
```

Computed properties:
- total DFT energy (no corrections) (eV/atom) = -2.931
- crystal system = tetragonal
- DOS at the Fermi energy (states/eV per cell) = 4.6

=====

# 8
The following is a DFT calculation (PBE-GGA) of an optimized crystal structure of Ca2In3AgAu12.

Cell and atoms, written as CIF:
```
data_Ca2In3AgAu12
_chemical_formula_sum 'Ca6 In9 Ag3 Au36'
_space_group_name_H-M_alt 'R -3 m'
_space_group_IT_number 166
_space_group_name_Hall '-R 3 2"'
_cell_length_a 9.7398
_cell_length_b 9.7398
_cell_length_c 14.0585
_cell_angle_alpha 90.00
_cell_angle_beta 90.00
_cell_angle_gamma 120.00
loop_
_atom_site_label
_atom_site_type_symbol
_atom_site_fract_x
_atom_site_fract_y
_atom_site_fract_z
Ca1 Ca 0.0000 0.0000 0.1750
In1 In 0.0000 0.5000 0.0000
Ag1 Ag 0.0000 0.0000 0.5000
Au1 Au 0.0017 0.5009 0.5996
Au2 Au 0.0083 0.5042 0.2048
```

Computed properties:
- total DFT energy (no corrections) (eV/atom) = -3.254
- crystal system = trigonal
- DOS at the Fermi energy (states/eV per cell) = 12.9

=====

# 9
The following is a DFT calculation (PBE-GGA) of an optimized crystal structure of Ca2InAgAu6.

Cell and atoms, written as CIF:
```
data_Ca2InAgAu6
_chemical_formula_sum 'Ca8 In4 Ag4 Au24'
_space_group_name_H-M_alt 'F m -3 m'
_space_group_IT_number 225
_space_group_name_Hall '-F 4 2 3'
_cell_length_a 10.315
_cell_length_b 10.315
_cell_length_c 10.315
_cell_angle_alpha 90.00
_cell_angle_beta 90.00
_cell_angle_gamma 90.00
loop_
_atom_site_label
_atom_site_type_symbol
_atom_site_fract_x
_atom_site_fract_y
_atom_site_fract_z
Ca1 Ca 0.250 0.250 0.250
In1 In 0.000 0.000 0.000
Ag1 Ag 0.000 0.000 0.500
Au1 Au 0.000 0.000 0.251
```

Computed properties:
- total DFT energy (no corrections) (eV/atom) = -2.963
- crystal system = cubic
- DOS at the Fermi energy (states/eV per cell) = 13.1

=====

# 10
The following is a DFT calculation (PBE-GGA) of an optimized crystal structure of KCaAgAu.

Cell and atoms, written as CIF:
```
data_KCaAgAu
_chemical_formula_sum 'K4 Ca4 Ag4 Au4'
_space_group_name_H-M_alt 'F -4 3 m'
_space_group_IT_number 216
_space_group_name_Hall 'F -4 2 3'
_cell_length_a 7.618
_cell_length_b 7.618
_cell_length_c 7.618
_cell_angle_alpha 90.00
_cell_angle_beta 90.00
_cell_angle_gamma 90.00
loop_
_atom_site_label
_atom_site_type_symbol
_atom_site_fract_x
_atom_site_fract_y
_atom_site_fract_z
K1 K 0.000 0.000 0.000
Ca1 Ca 0.000 0.000 0.500
Ag1 Ag 0.250 0.250 0.750
Au1 Au 0.250 0.250 0.250
```

Computed properties:
- total DFT energy (no corrections) (eV/atom) = -2.538
- crystal system = cubic
- DOS at the Fermi energy (states/eV per cell) = 7.8

=====

# 11
The following is a DFT calculation (PBE-GGA) of an optimized crystal structure of Li2CaAgAu.

Cell and atoms, written as CIF:
```
data_Li2CaAgAu
_chemical_formula_sum 'Li8 Ca4 Ag4 Au4'
_space_group_name_H-M_alt 'C m c m'
_space_group_IT_number 63
_space_group_name_Hall '-C 2c 2'
_cell_length_a 5.764
_cell_length_b 12.711
_cell_length_c 5.777
_cell_angle_alpha 90.00
_cell_angle_beta 90.00
_cell_angle_gamma 90.00
loop_
_atom_site_label
_atom_site_type_symbol
_atom_site_fract_x
_atom_site_fract_y
_atom_site_fract_z
Li1 Li 0.240 0.000 0.000
Ca1 Ca 0.000 0.252 0.250
Ag1 Ag 0.000 0.363 0.750
Au1 Au 0.000 0.144 0.750
```

Computed properties:
- total DFT energy (no corrections) (eV/atom) = -2.795
- crystal system = orthorhombic
- DOS at the Fermi energy (states/eV per cell) = 8.8

=====

# 12
The following is a DFT calculation (PBE-GGA) of an optimized crystal structure of Li2CaAgAu4.

Cell and atoms, written as CIF:
```
data_Li2CaAgAu4
_chemical_formula_sum 'Li6 Ca3 Ag3 Au12'
_space_group_name_H-M_alt 'R -3 m'
_space_group_IT_number 166
_space_group_name_Hall '-R 3 2"'
_cell_length_a 4.5834
_cell_length_b 4.5834
_cell_length_c 25.5280
_cell_angle_alpha 90.00
_cell_angle_beta 90.00
_cell_angle_gamma 120.00
loop_
_atom_site_label
_atom_site_type_symbol
_atom_site_fract_x
_atom_site_fract_y
_atom_site_fract_z
Li1 Li 0.0000 0.0000 0.2352
Ca1 Ca 0.0000 0.0000 0.0000
Ag1 Ag 0.0000 0.0000 0.5000
Au1 Au 0.0000 0.0000 0.1205
Au2 Au 0.0000 0.0000 0.3909
```

Computed properties:
- total DFT energy (no corrections) (eV/atom) = -3.176
- crystal system = trigonal
- DOS at the Fermi energy (states/eV per cell) = 7.8